1.
DFT (GGA-PBE) results for crystalline ErSc2Pt3 at its relaxed geometry.

a b c (Å): 3.326 3.326 10.232
angles (deg): 90.00 90.00 90.00
Space group P4/mmm (No. 123)
Symmetry-distinct sites (fractional):
Er 0.000 0.000 0.000
Sc 0.000 0.000 0.339
Pt 0.500 0.500 0.184
Pt 0.500 0.500 0.500

**Magnetic moment**: 0.00 μB per cell
**Fermi-level density of states**: 0.58 states/eV per atom
**Formation energy from the elements**: -1.2430 eV per atom

2.
DFT (GGA-PBE) results for crystalline ErSc4Pt5 at its relaxed geometry.

a b c (Å): 3.282 3.282 17.161
angles (deg): 90.00 90.00 90.00
Space group P4/mmm (No. 123)
Symmetry-distinct sites (fractional):
Er 0.000 0.000 0.000
Sc 0.000 0.000 0.206
Sc 0.000 0.000 0.402
Pt 0.500 0.500 0.112
Pt 0.500 0.500 0.305
Pt 0.500 0.500 0.500

**Magnetic moment**: 0.00 μB per cell
**Fermi-level density of states**: 0.54 states/eV per atom
**Formation energy from the elements**: -1.2394 eV per atom

3.
DFT (GGA-PBE) results for crystalline Er3ScPt12 at its relaxed geometry.

a b c (Å): 4.084 4.084 16.266
angles (deg): 90.00 90.00 90.00
Space group P4/mmm (No. 123)
Symmetry-distinct sites (fractional):
Er 0.000 0.000 0.000
Er 0.000 0.000 0.252
Sc 0.000 0.000 0.500
Pt 0.000 0.500 0.126
Pt 0.000 0.500 0.380
Pt 0.500 0.500 0.000
Pt 0.500 0.500 0.253
Pt 0.500 0.500 0.500

**Magnetic moment**: 0.00 μB per cell
**Fermi-level density of states**: 0.95 states/eV per atom
**Formation energy from the elements**: -1.0649 eV per atom

4.
DFT (GGA-PBE) results for crystalline Er3ScPt at its relaxed geometry.

a b c (Å): 5.001 8.214 6.364
angles (deg): 90.00 90.00 90.00
Space group Pmmn (No. 59, origin choice 2)
Symmetry-distinct sites (fractional):
Er 0.250 0.049 0.205
Er 0.250 0.250 0.719
Sc 0.250 0.750 0.588
Pt 0.250 0.750 0.011

**Magnetic moment**: 0.00 μB per cell
**Fermi-level density of states**: 1.47 states/eV per atom
**Formation energy from the elements**: -0.4882 eV per atom

5.
DFT (GGA-PBE) results for crystalline Er3ScPt2 at its relaxed geometry.

a b c (Å): 6.580 13.948 6.455
angles (deg): 90.00 90.00 90.00
Space group Ibam (No. 72)
Symmetry-distinct sites (fractional):
Er 0.000 0.000 0.250
Er 0.188 0.310 0.000
Sc 0.000 0.500 0.250
Pt 0.227 0.386 0.500

**Magnetic moment**: 0.00 μB per cell
**E above lowest polymorph**: 69 meV/atom
**Fermi-level density of states**: 1.39 states/eV per atom
**Formation energy from the elements**: -0.8917 eV per atom

6.
DFT (GGA-PBE) results for crystalline ErSc3Pt4 at its relaxed geometry.

a b c (Å): 9.556 6.547 4.777
angles (deg): 90.00 90.00 90.00
Space group Pmma (No. 51)
Symmetry-distinct sites (fractional):
Er 0.000 0.000 0.000
Sc 0.000 0.500 0.000
Sc 0.250 0.000 0.499
Sc 0.250 0.500 0.498
Pt 0.000 0.259 0.500
Pt 0.250 0.259 0.997

**Magnetic moment**: 0.00 μB per cell
**Fermi-level density of states**: 0.46 states/eV per atom
**Formation energy from the elements**: -1.2339 eV per atom

7.
DFT (GGA-PBE) results for crystalline Er5ScPt6 at its relaxed geometry.

a b c (Å): 15.475 6.790 4.887
angles (deg): 90.00 108.30 90.00
Space group C2/m (No. 12)
Symmetry-distinct sites (fractional):
Er 0.000 0.000 0.000
Er 0.166 0.500 0.666
Er 0.167 0.000 0.666
Sc 0.000 0.500 0.000
Pt 0.000 0.258 0.500
Pt 0.160 0.257 0.160

**Magnetic moment**: 0.00 μB per cell
**Fermi-level density of states**: 0.57 states/eV per atom
**Formation energy from the elements**: -1.2523 eV per atom

8.
DFT (GGA-PBE) results for crystalline ErScPt at its relaxed geometry.

a b c (Å): 4.6961 4.6961 23.0074
angles (deg): 90.00 90.00 120.00
Space group R-3m (No. 166, hexagonal axes)
Symmetry-distinct sites (fractional):
Er 0.0000 0.0000 0.1224
Sc 0.0000 0.0000 0.3725
Pt 0.0000 0.0000 0.2531

**Magnetic moment**: 0.00 μB per cell
**E above lowest polymorph**: 110 meV/atom
**Fermi-level density of states**: 0.88 states/eV per atom
**Formation energy from the elements**: -0.8763 eV per atom